Entry 1:
Below is PrNdGeI2 after structural relaxation, with properties calculated at the GGA-PBE level.

```
PrNdGeI2
1.0
4.401 0.000 0.000
-2.200 3.811 0.000
0.000 0.000 11.211
Pr Nd Ge I
1 1 1 2
Cartesian
0.000 0.000 0.000 Pr
0.000 2.541 7.908 Nd
2.200 1.270 9.548 Ge
0.000 0.000 5.880 I
0.000 2.541 2.058 I
```

Computed properties:
Crystal system = trigonal
VASP energy = -4.6827 eV per atom
M_tot = 0.011 μB per cell



Entry 2:
Below is NdSmGeI2 after structural relaxation, with properties calculated at the GGA-PBE level.

```
NdSmGeI2
1.0
4.352 0.000 0.000
-2.176 3.769 0.000
0.000 0.000 11.045
Nd Sm Ge I
1 1 1 2
Cartesian
0.000 0.000 0.000 Nd
2.176 1.256 3.267 Sm
0.000 2.512 1.655 Ge
0.000 0.000 5.282 I
2.176 1.256 8.983 I
```

Computed properties:
Crystal system = trigonal
VASP energy = -4.6697 eV per atom
M_tot = 0.016 μB per cell



Entry 3:
Below is NdTmGeI2 after structural relaxation, with properties calculated at the GGA-PBE level.

```
NdTmGeI2
1.0
4.284 0.000 0.000
-2.142 3.710 0.000
-0.322 -2.126 11.670
Nd Tm Ge I
1 1 1 2
Cartesian
0.000 0.000 0.000 Nd
-0.322 0.348 8.511 Tm
1.820 -0.889 10.011 Ge
0.000 2.473 2.101 I
1.820 1.585 6.570 I
```

Computed properties:
Crystal system = triclinic
VASP energy = -4.5886 eV per atom
M_tot = 0.012 μB per cell



Entry 4:
Below is Zn2GeP4I after structural relaxation, with properties calculated at the GGA-PBE level.

```
Zn2GeP4I
1.0
-2.708 2.708 6.593
2.708 -2.708 6.593
2.708 2.708 -6.593
Zn Ge P I
2 1 4 1
Cartesian
0.000 0.000 0.000 Zn
0.000 2.708 3.297 Zn
2.708 0.000 3.297 Ge
3.478 1.920 -4.460 P
-0.771 0.787 2.133 P
1.920 1.937 4.460 P
0.787 0.771 11.054 P
0.000 0.000 6.593 I
```

Computed properties:
Crystal system = tetragonal
VASP energy = -3.7611 eV per atom



Entry 5:
Below is Pm4GeI5 after structural relaxation, with properties calculated at the GGA-PBE level.

```
Pm4GeI5
1.0
9.751 -2.150 0.000
9.751 2.150 0.000
-1.967 0.000 8.817
Pm Ge I
4 1 5
Cartesian
19.075 0.000 1.895 Pm
-1.540 0.000 6.922 Pm
5.035 0.000 8.168 Pm
12.500 0.000 0.649 Pm
9.751 0.000 0.000 Ge
2.585 0.000 2.962 I
1.715 0.000 7.278 I
8.767 0.000 4.409 I
15.820 0.000 1.540 I
14.950 0.000 5.855 I
```

Computed properties:
Crystal system = monoclinic
VASP energy = -4.3897 eV per atom
M_tot = 0.011 μB per cell



Entry 6:
Below is PmGeI after structural relaxation, with properties calculated at the GGA-PBE level.

```
PmGeI
1.0
3.780 -2.189 0.000
3.780 2.189 0.000
-0.307 0.000 12.052
Pm Ge I
2 2 2
Cartesian
-0.003 0.000 1.955 Pm
7.256 0.000 10.097 Pm
2.518 0.000 0.130 Ge
4.734 0.000 11.923 Ge
2.218 0.000 8.065 I
5.034 0.000 3.987 I
```

Computed properties:
Crystal system = monoclinic
VASP energy = -4.6745 eV per atom
M_tot = 0.006 μB per cell



Entry 7:
Below is Pr7GeI12 after structural relaxation, with properties calculated at the GGA-PBE level.

```
Pr7GeI12
1.0
8.135 4.697 3.605
-8.135 4.697 3.605
0.000 -9.394 3.605
Pr Ge I
7 1 12
Cartesian
0.000 0.000 0.000 Pr
-2.295 -0.658 3.757 Pr
1.717 -1.659 3.757 Pr
0.578 2.316 3.757 Pr
-0.578 -2.316 7.056 Pr
-1.717 1.659 7.056 Pr
2.295 0.658 7.056 Pr
0.000 0.000 5.407 Ge
-0.656 -2.598 1.744 I
-1.922 1.868 1.744 I
-3.174 -3.266 5.402 I
-4.416 1.115 5.411 I
2.578 0.731 1.744 I
1.242 -4.382 5.411 I
-1.242 4.382 5.402 I
-2.578 -0.731 9.070 I
4.416 -1.115 5.402 I
3.174 3.266 5.411 I
1.922 -1.868 9.070 I
0.656 2.598 9.070 I
```

Computed properties:
Crystal system = trigonal
VASP energy = -4.1593 eV per atom
M_tot = 0.233 μB per cell



Entry 8:
Below is Re3GeI after structural relaxation, with properties calculated at the GGA-PBE level.

```
Re3GeI
1.0
4.852 0.000 0.000
0.000 4.852 0.000
0.000 0.000 4.852
Re Ge I
3 1 1
Cartesian
0.000 0.000 2.426 Re
0.000 2.426 0.000 Re
2.426 0.000 0.000 Re
2.426 2.426 2.426 Ge
0.000 0.000 0.000 I
```

Computed properties:
Crystal system = cubic
VASP energy = -5.7395 eV per atom
M_tot = 2.089 μB per cell



Entry 9:
Below is Sm4GeI5 after structural relaxation, with properties calculated at the GGA-PBE level.

```
Sm4GeI5
1.0
9.706 -2.140 0.000
9.706 2.140 0.000
-1.955 0.000 8.773
Sm Ge I
4 1 5
Cartesian
18.990 0.000 1.879 Sm
-1.532 0.000 6.894 Sm
5.020 0.000 8.128 Sm
12.438 0.000 0.645 Sm
9.706 0.000 0.000 Ge
2.574 0.000 2.946 I
1.711 0.000 7.245 I
8.729 0.000 4.387 I
15.746 0.000 1.528 I
14.884 0.000 5.827 I
```

Computed properties:
Crystal system = monoclinic
VASP energy = -4.3618 eV per atom
M_tot = 0.008 μB per cell



Entry 10:
Below is TbSmGeI2 after structural relaxation, with properties calculated at the GGA-PBE level.

```
TbSmGeI2
1.0
4.291 0.000 0.000
-2.145 3.716 0.000
0.000 0.000 11.099
Tb Sm Ge I
1 1 1 2
Cartesian
0.000 0.000 0.000 Tb
2.145 1.239 3.176 Sm
0.000 2.477 1.559 Ge
0.000 0.000 5.212 I
2.145 1.239 9.122 I
```

Computed properties:
Crystal system = trigonal
VASP energy = -4.6389 eV per atom
M_tot = 0.010 μB per cell



Entry 11:
Below is Tb7GeI12 after structural relaxation, with properties calculated at the GGA-PBE level.

```
Tb7GeI12
1.0
7.883 4.552 3.482
-7.883 4.552 3.482
0.000 -9.103 3.482
Tb Ge I
7 1 12
Cartesian
0.000 0.000 0.000 Tb
-1.644 -1.592 3.655 Tb
-0.557 2.219 3.655 Tb
2.200 -0.628 3.655 Tb
-2.200 0.628 6.792 Tb
0.557 -2.219 6.792 Tb
1.644 1.592 6.792 Tb
0.000 0.000 5.224 Ge
-2.476 0.701 1.700 I
0.631 -2.495 1.700 I
-4.275 -1.093 5.204 I
-1.191 -4.249 5.243 I
1.846 1.794 1.700 I
-3.084 3.155 5.243 I
3.084 -3.155 5.204 I
-1.846 -1.794 8.747 I
1.191 4.249 5.204 I
4.275 1.093 5.243 I
-0.631 2.495 8.747 I
2.476 -0.701 8.747 I
```

Computed properties:
Crystal system = trigonal
VASP energy = -4.0390 eV per atom
M_tot = 0.155 μB per cell



Entry 12:
Below is TbYGeI2 after structural relaxation, with properties calculated at the GGA-PBE level.

```
TbYGeI2
1.0
4.245 0.000 0.000
-2.123 3.676 0.000
0.000 0.000 11.170
Tb Y Ge I
1 1 1 2
Cartesian
0.000 0.000 0.000 Tb
2.123 1.225 3.133 Y
0.000 2.451 1.567 Ge
0.000 0.000 5.137 I
2.123 1.225 9.156 I
```

Computed properties:
Crystal system = trigonal
VASP energy = -4.9943 eV per atom
M_tot = 0.001 μB per cell



Entry 13:
Below is YTmGeI2 after structural relaxation, with properties calculated at the GGA-PBE level.

```
YTmGeI2
1.0
4.225 0.000 0.000
-2.112 3.659 0.000
0.000 0.000 10.674
Y Tm Ge I
1 1 1 2
Cartesian
0.000 0.000 0.000 Y
0.000 2.439 7.580 Tm
2.112 1.220 9.098 Ge
0.000 0.000 5.600 I
0.000 2.439 2.025 I
```

Computed properties:
Crystal system = trigonal
VASP energy = -4.9348 eV per atom
M_tot = 0.003 μB per cell



Entry 14:
Below is InGeIr after structural relaxation, with properties calculated at the GGA-PBE level.

```
InGeIr
1.0
0.000 3.109 3.109
3.109 0.000 3.109
3.109 3.109 0.000
In Ge Ir
1 1 1
Cartesian
0.000 0.000 0.000 In
3.109 3.109 3.109 Ge
4.664 4.664 4.664 Ir
```

Computed properties:
Crystal system = cubic
VASP energy = -5.5148 eV per atom
M_tot = 0.001 μB per cell



Entry 15:
Below is In2GeIr after structural relaxation, with properties calculated at the GGA-PBE level.

```
In2GeIr
1.0
0.000 3.390 3.390
3.390 0.000 3.390
3.390 3.390 0.000
In Ge Ir
2 1 1
Cartesian
0.000 0.000 0.000 In
1.695 1.695 1.695 In
3.390 3.390 3.390 Ge
5.085 5.085 5.085 Ir
```

Computed properties:
Crystal system = cubic
VASP energy = -4.4177 eV per atom
M_tot = 0.003 μB per cell



Entry 16:
Below is Li4InGeIr2 after structural relaxation, with properties calculated at the GGA-PBE level.

```
Li4InGeIr2
1.0
4.297 0.000 0.000
0.000 4.297 0.000
0.000 0.000 6.210
Li In Ge Ir
4 1 1 2
Cartesian
0.000 0.000 0.000 Li
0.000 2.148 4.563 Li
2.148 0.000 1.646 Li
2.148 2.148 3.105 Li
2.148 2.148 0.000 In
0.000 0.000 3.105 Ge
0.000 2.148 1.732 Ir
2.148 0.000 4.478 Ir
```

Computed properties:
Crystal system = tetragonal
VASP energy = -4.4630 eV per atom
M_tot = 0.007 μB per cell



Entry 17:
Below is Li2Mg2InGeIr2 after structural relaxation, with properties calculated at the GGA-PBE level.

```
Li2Mg2InGeIr2
1.0
4.431 0.000 0.000
0.000 4.431 0.000
0.000 0.000 6.358
Li Mg In Ge Ir
2 2 1 1 2
Cartesian
0.000 2.215 1.488 Li
2.215 0.000 4.871 Li
0.000 0.000 0.000 Mg
2.215 2.215 3.179 Mg
0.000 0.000 3.179 In
2.215 2.215 0.000 Ge
0.000 2.215 4.911 Ir
2.215 0.000 1.448 Ir
```

Computed properties:
Crystal system = tetragonal
VASP energy = -4.4135 eV per atom
M_tot = 0.005 μB per cell



Entry 18:
Below is SrIn2Ge4Ir4 after structural relaxation, with properties calculated at the GGA-PBE level.

```
SrIn2Ge4Ir4
1.0
-3.504 3.504 4.415
3.504 -3.504 4.415
3.504 3.504 -4.415
Sr In Ge Ir
1 2 4 4
Cartesian
0.000 0.000 0.000 Sr
3.504 0.000 0.000 In
0.000 3.504 0.000 In
1.286 -1.286 2.704 Ge
-1.286 1.286 2.704 Ge
2.217 2.217 1.710 Ge
1.286 1.286 6.125 Ge
2.402 2.402 -0.904 Ir
1.101 -1.101 5.319 Ir
1.101 1.101 3.510 Ir
-1.101 1.101 5.319 Ir
```

Computed properties:
Crystal system = tetragonal
VASP energy = -6.0265 eV per atom
M_tot = 0.002 μB per cell



Entry 19:
Below is Tm4InGe4Ir2 after structural relaxation, with properties calculated at the GGA-PBE level.

```
Tm4InGe4Ir2
1.0
7.807 -2.124 0.000
7.807 2.124 0.000
-2.025 0.000 6.641
Tm In Ge Ir
4 1 4 2
Cartesian
0.583 0.000 2.578 Tm
0.548 0.000 6.169 Tm
13.041 0.000 0.472 Tm
13.006 0.000 4.063 Tm
7.807 0.000 0.000 In
3.211 0.000 5.003 Ge
6.125 0.000 2.249 Ge
7.464 0.000 4.392 Ge
10.378 0.000 1.638 Ge
3.627 0.000 2.465 Ir
9.962 0.000 4.176 Ir
```

Computed properties:
Crystal system = monoclinic
VASP energy = -5.9823 eV per atom
M_tot = 0.030 μB per cell



Entry 20:
Below is Li2Mg2InNi2Ge after structural relaxation, with properties calculated at the GGA-PBE level.

```
Li2Mg2InNi2Ge
1.0
4.349 0.000 0.000
0.000 4.349 0.000
0.000 0.000 6.190
Li Mg In Ni Ge
2 2 1 2 1
Cartesian
0.000 2.175 1.438 Li
2.175 0.000 4.751 Li
0.000 0.000 0.000 Mg
2.175 2.175 3.095 Mg
0.000 0.000 3.095 In
0.000 2.175 4.758 Ni
2.175 0.000 1.432 Ni
2.175 2.175 0.000 Ge
```

Computed properties:
Crystal system = tetragonal
VASP energy = -3.4751 eV per atom
M_tot = 0.001 μB per cell